This record from Alexandria via LeMat-Bulk describes a relaxed structure of La2InBIr. The functional is GGA-PBE.

abc: 5.5011 5.5011 4.0486
angles: 90.00 90.00 90.00
Positions (direct):
La (0.0000, 0.5000, 0.0000)
La (0.5000, 0.0000, 0.0000)
In (0.0000, 0.0000, 0.5000)
B (0.5000, 0.5000, 0.0000)
Ir (0.5000, 0.5000, 0.5000)

The space group is P4/mmm, No. 123. The calculation puts the formation energy at -428 meV/atom.

=====

This record from Alexandria via LeMat-Bulk describes a relaxed structure of Li2InB2Ir5. The functional is GGA-PBE.

abc: 9.7122 9.7122 2.9291
angles: 90.00 90.00 90.00
Positions (direct):
Li (0.1762, 0.3238, 0.0000)
Li (0.3238, 0.8238, 0.0000)
Li (0.6762, 0.1762, 0.0000)
Li (0.8238, 0.6762, 0.0000)
In (0.0000, 0.0000, 0.0000)
In (0.5000, 0.5000, 0.0000)
B (0.1224, 0.6224, 0.0000)
B (0.3776, 0.1224, 0.0000)
B (0.6224, 0.8776, 0.0000)
B (0.8776, 0.3776, 0.0000)
Ir (0.0000, 0.5000, 0.5000)
Ir (0.0722, 0.7744, 0.5000)
Ir (0.2256, 0.0722, 0.5000)
Ir (0.2744, 0.5722, 0.5000)
Ir (0.4278, 0.2744, 0.5000)
Ir (0.5000, 0.0000, 0.5000)
Ir (0.5722, 0.7256, 0.5000)
Ir (0.7256, 0.4278, 0.5000)
Ir (0.7744, 0.9278, 0.5000)
Ir (0.9278, 0.2256, 0.5000)

The space group is P4/mbm, No. 127. The calculation puts the formation energy at -207 meV/atom.

=====

This record from Alexandria via LeMat-Bulk describes a relaxed structure of MgIn2B2Ir5. The functional is GGA-PBE.

abc: 9.7415 9.7415 2.9841
angles: 90.00 90.00 90.00
Positions (direct):
Mg (0.0000, 0.0000, 0.0000)
Mg (0.5000, 0.5000, 0.0000)
In (0.1794, 0.3206, 0.0000)
In (0.3206, 0.8206, 0.0000)
In (0.6794, 0.1794, 0.0000)
In (0.8206, 0.6794, 0.0000)
B (0.1240, 0.6240, 0.0000)
B (0.3760, 0.1240, 0.0000)
B (0.6240, 0.8760, 0.0000)
B (0.8760, 0.3760, 0.0000)
Ir (0.0000, 0.5000, 0.5000)
Ir (0.0693, 0.7788, 0.5000)
Ir (0.2212, 0.0693, 0.5000)
Ir (0.2788, 0.5693, 0.5000)
Ir (0.4307, 0.2788, 0.5000)
Ir (0.5000, 0.0000, 0.5000)
Ir (0.5693, 0.7212, 0.5000)
Ir (0.7212, 0.4307, 0.5000)
Ir (0.7788, 0.9307, 0.5000)
Ir (0.9307, 0.2212, 0.5000)

The space group is P4/mbm, No. 127. The calculation puts the formation energy at -194 meV/atom.

=====

This record from Alexandria via LeMat-Bulk describes a relaxed structure of Mg3In2BIr3. The functional is GGA-PBE.

abc: 7.2534 7.2534 3.1822
angles: 90.00 90.00 120.00
Positions (direct):
Mg (0.0000, 0.3505, 0.0000)
Mg (0.3505, 0.0000, 0.0000)
Mg (0.6495, 0.6495, 0.0000)
In (0.3333, 0.6667, 0.5000)
In (0.6667, 0.3333, 0.5000)
B (0.0000, 0.0000, 0.0000)
Ir (0.0000, 0.7724, 0.5000)
Ir (0.2276, 0.2276, 0.5000)
Ir (0.7724, 0.0000, 0.5000)

The space group is P-62m, No. 189. The calculation puts the formation energy at -240 meV/atom.

=====

This record from Alexandria via LeMat-Bulk describes a relaxed structure of InBIrN2. The functional is GGA-PBE.

abc: 3.7744 3.7744 4.8720
angles: 90.00 90.00 90.00
Positions (direct):
In (0.0000, 0.0000, 0.0000)
B (0.5000, 0.5000, 0.0000)
Ir (0.5000, 0.5000, 0.5000)
N (0.0000, 0.5000, 0.5000)
N (0.5000, 0.0000, 0.5000)

The space group is P4/mmm, No. 123. The uncorrected formation energy comes out at 112.0 kJ per mole of atoms.

=====

This record from Alexandria via LeMat-Bulk describes a relaxed structure of Nb2InBIr. The functional is GGA-PBE.

abc: 5.0338 5.0338 4.7614
angles: 90.00 90.00 90.00
Positions (direct):
Nb (0.0000, 0.5000, 0.0000)
Nb (0.5000, 0.0000, 0.0000)
In (0.0000, 0.0000, 0.0000)
B (0.5000, 0.5000, 0.5000)
Ir (0.0000, 0.0000, 0.5000)

The space group is P4/mmm, No. 123. The calculation puts the formation energy at 2710 meV/atom.

=====

This record from Alexandria via LeMat-Bulk describes a relaxed structure of In2NiB2Ir5. The functional is GGA-PBE.

abc: 9.6244 9.6244 2.9431
angles: 90.00 90.00 90.00
Positions (direct):
In (0.1794, 0.3206, 0.0000)
In (0.3206, 0.8206, 0.0000)
In (0.6794, 0.1794, 0.0000)
In (0.8206, 0.6794, 0.0000)
Ni (0.0000, 0.0000, 0.0000)
Ni (0.5000, 0.5000, 0.0000)
B (0.1265, 0.6265, 0.0000)
B (0.3735, 0.1265, 0.0000)
B (0.6265, 0.8735, 0.0000)
B (0.8735, 0.3735, 0.0000)
Ir (0.0000, 0.5000, 0.5000)
Ir (0.0669, 0.7837, 0.5000)
Ir (0.2163, 0.0669, 0.5000)
Ir (0.2837, 0.5669, 0.5000)
Ir (0.4331, 0.2837, 0.5000)
Ir (0.5000, 0.0000, 0.5000)
Ir (0.5669, 0.7163, 0.5000)
Ir (0.7163, 0.4331, 0.5000)
Ir (0.7837, 0.9331, 0.5000)
Ir (0.9331, 0.2163, 0.5000)

The space group is P4/mbm, No. 127. The calculation puts the formation energy at -80 meV/atom.

=====

This record from Alexandria via LeMat-Bulk describes a relaxed structure of InBIrPd2. The functional is GGA-PBE.

abc: 4.2527 4.2527 4.1458
angles: 90.00 90.00 90.00
Positions (direct):
In (0.0000, 0.0000, 0.0000)
B (0.5000, 0.5000, 0.5000)
Ir (0.5000, 0.5000, 0.0000)
Pd (0.0000, 0.5000, 0.5000)
Pd (0.5000, 0.0000, 0.5000)

The space group is P4/mmm, No. 123. The calculation puts the formation energy at -263 meV/atom.